Compound: Li2CS
Source: Alexandria via LeMat-Bulk
Functional: PBE
Structure: relaxed

Structure (POSCAR):
```
Li2CS
1.0
-4.122 4.122 1.946
4.122 -4.122 1.946
4.122 4.122 -1.946
Li C S
4 2 2
Direct
0.375 0.121 0.246
0.871 0.625 0.746
0.875 0.129 0.754
0.879 0.125 0.254
0.000 0.000 0.000
0.750 0.250 0.500
0.250 0.750 0.500
0.500 0.500 0.000
```

Computed properties:
**Polymorph energy (0 for the lowest one)**: 0.0 meV per atom
**Calculated volume**: 16.54 A^3/atom
**DFT total energy**: -31.38 eV per cell
**Space-group type**: I-42d, No. 122
**Total moment**: 0.00 μB per formula unit
**Uncorrected formation energy**: 0.373 eV/atom
**N(E_F)**: 3.66 states/eV/cell

=====

Compound: RbPm2Rh
Source: Alexandria via LeMat-Bulk
Functional: PBE
Structure: relaxed

Structure (POSCAR):
```
RbPm2Rh
1.0
2.092 1.208 11.393
-2.092 1.208 11.393
0.000 -2.416 11.393
Rb Pm Rh
1 2 1
Direct
0.000 0.000 0.000
0.124 0.124 0.124
0.876 0.876 0.876
0.500 0.500 0.500
```

Computed properties:
**Calculated volume**: 43.19 A^3/atom
**Energy relative to the elements**: -236 meV per atom
**DFT total energy**: -18.77 eV per cell
**Space-group type**: R-3m, No. 166
**Total moment**: 0.00 μB per formula unit
**N(E_F)**: 4.14 states/eV/cell

=====

Compound: La2BeAg
Source: Alexandria via LeMat-Bulk
Functional: PBE
Structure: relaxed

Structure (POSCAR):
```
La2BeAg
1.0
5.844 -1.807 0.000
5.844 1.807 0.000
-2.199 0.000 4.584
La Be Ag
2 1 1
Direct
0.000 0.000 0.000
0.187 0.187 0.686
0.435 0.435 0.437
0.784 0.784 0.283
```

Computed properties:
**Calculated volume**: 24.20 A^3/atom
**Energy relative to the elements**: 5 meV per atom
**DFT total energy**: -16.41 eV per cell
**Space-group type**: Cm, No. 8
**Total moment**: 0.00 μB per formula unit
**N(E_F)**: 3.72 states/eV/cell

=====

Compound: LaZn2GaPd2
Source: Alexandria via LeMat-Bulk
Functional: PBE
Structure: relaxed

Structure (POSCAR):
```
LaZn2GaPd2
1.0
4.688 0.000 0.000
0.000 4.688 0.000
0.000 0.000 5.790
La Zn Ga Pd
1 2 1 2
Direct
0.000 0.000 0.000
0.500 0.500 0.245
0.500 0.500 0.755
0.000 0.000 0.500
0.000 0.500 0.500
0.500 0.000 0.500
```

Computed properties:
**Calculated volume**: 21.21 A^3/atom
**Energy relative to the elements**: -354 meV per atom
**DFT total energy**: -23.01 eV per cell
**Space-group type**: P4/mmm, No. 123
**Total moment**: 0.00 μB per formula unit
**N(E_F)**: 3.17 states/eV/cell

=====

Compound: Sr5ReN4F2
Source: Alexandria via LeMat-Bulk
Functional: PBE
Structure: relaxed

Structure (POSCAR):
```
Sr5ReN4F2
1.0
7.405 0.000 0.000
0.000 5.148 3.088
0.000 -5.148 3.088
Sr Re N F
5 1 4 2
Direct
0.000 0.000 0.000
0.266 0.288 0.633
0.266 0.633 0.288
0.734 0.288 0.633
0.734 0.633 0.288
0.500 0.961 0.961
0.312 0.167 0.167
0.500 0.642 0.946
0.500 0.946 0.642
0.688 0.167 0.167
0.000 0.408 0.964
0.000 0.964 0.408
```

Computed properties:
**Calculated volume**: 19.62 A^3/atom
**DFT total energy**: -73.98 eV per cell
**Space-group type**: Amm2, No. 38
**Total moment**: 0.00 μB per formula unit
**Uncorrected formation energy**: -1.340 eV/atom
**N(E_F)**: 4.52 states/eV/cell

=====

Compound: La8Tb3Tm
Source: Alexandria via LeMat-Bulk
Functional: PBE
Structure: relaxed

Structure (POSCAR):
```
La8Tb3Tm
1.0
-4.433 4.433 5.877
4.433 -4.433 5.877
4.433 4.433 -5.877
La Tb Tm
8 3 1
Direct
0.127 0.127 0.754
0.250 0.250 0.500
0.251 0.750 0.000
0.373 0.373 0.246
0.627 0.873 0.000
0.749 0.749 0.500
0.750 0.251 0.000
0.873 0.627 0.000
0.250 0.750 0.500
0.500 0.500 0.000
0.750 0.250 0.500
0.000 0.000 0.000
```

Computed properties:
**Calculated volume**: 38.50 A^3/atom
**Energy relative to the elements**: 521 meV per atom
**DFT total energy**: -51.53 eV per cell
**Space-group type**: I-42m, No. 121
**Total moment**: 0.00 μB per formula unit
**N(E_F)**: 20.71 states/eV/cell

=====

Compound: Cs3Np3VSe8
Source: Alexandria via LeMat-Bulk
Functional: PBE
Structure: relaxed

Structure (POSCAR):
```
Cs3Np3VSe8
1.0
4.145 2.393 8.531
-4.145 2.393 8.531
0.000 -4.786 8.531
Cs Np V Se
3 3 1 8
Direct
0.000 0.500 0.500
0.500 0.000 0.500
0.500 0.500 0.000
0.000 0.000 0.500
0.000 0.500 0.000
0.500 0.000 0.000
0.500 0.500 0.500
0.229 0.229 0.229
0.241 0.716 0.716
0.284 0.284 0.759
0.284 0.759 0.284
0.716 0.241 0.716
0.716 0.716 0.241
0.759 0.284 0.284
0.771 0.771 0.771
```

Computed properties:
**Calculated volume**: 33.84 A^3/atom
**DFT total energy**: -95.01 eV per cell
**Space-group type**: R-3m, No. 166
**Total moment**: 7.99 μB per formula unit
**Uncorrected formation energy**: -1.109 eV/atom
**N(E_F)**: 36.37 states/eV/cell

=====

Compound: Ho2ZnPd
Source: Alexandria via LeMat-Bulk
Functional: PBE
Structure: relaxed

Structure (POSCAR):
```
Ho2ZnPd
1.0
2.017 1.164 9.134
-2.017 1.164 9.134
0.000 -2.329 9.134
Ho Zn Pd
2 1 1
Direct
0.112 0.112 0.112
0.888 0.888 0.888
0.000 0.000 0.000
0.500 0.500 0.500
```

Computed properties:
**Polymorph energy (0 for the lowest one)**: 546.2 meV per atom
**Calculated volume**: 32.17 A^3/atom
**Energy relative to the elements**: -95 meV per atom
**DFT total energy**: -16.00 eV per cell
**Space-group type**: R-3m, No. 166
**Total moment**: 0.00 μB per formula unit
**N(E_F)**: 2.97 states/eV/cell

=====

Compound: LaOs2W
Source: Alexandria via LeMat-Bulk
Functional: PBE
Structure: relaxed

Structure (POSCAR):
```
LaOs2W
1.0
3.126 0.000 0.000
0.000 4.686 0.000
0.000 0.000 4.938
La Os W
1 2 1
Direct
0.000 0.000 0.000
0.000 0.500 0.500
0.500 0.500 0.000
0.500 0.000 0.500
```

Computed properties:
**Polymorph energy (0 for the lowest one)**: 711.8 meV per atom
**Calculated volume**: 18.08 A^3/atom
**Energy relative to the elements**: 849 meV per atom
**DFT total energy**: -36.94 eV per cell
**Space-group type**: Pmmm, No. 47
**Total moment**: 0.01 μB per formula unit
**N(E_F)**: 6.60 states/eV/cell

=====

Compound: VPOs3
Source: Alexandria via LeMat-Bulk
Functional: PBE
Structure: relaxed

Structure (POSCAR):
```
VPOs3
1.0
4.482 0.000 0.000
0.000 4.482 0.000
0.000 0.000 4.482
V P Os
1 1 3
Direct
0.000 0.000 0.000
0.500 0.500 0.500
0.000 0.000 0.500
0.000 0.500 0.000
0.500 0.000 0.000
```

Computed properties:
**Polymorph energy (0 for the lowest one)**: 1141.7 meV per atom
**Calculated volume**: 18.00 A^3/atom
**Energy relative to the elements**: 1976 meV per atom
**DFT total energy**: -38.34 eV per cell
**Space-group type**: Pm-3m, No. 221
**Total moment**: 0.00 μB per formula unit
**N(E_F)**: 3.22 states/eV/cell

=====

Compound: LiRe2Se
Source: Alexandria via LeMat-Bulk
Functional: PBE
Structure: relaxed

Structure (POSCAR):
```
LiRe2Se
1.0
2.862 0.000 0.000
0.000 4.229 0.000
0.000 0.000 5.094
Li Re Se
1 2 1
Direct
0.000 0.000 0.000
0.500 0.500 0.230
0.500 0.500 0.770
0.000 0.000 0.500
```

Computed properties:
**Calculated volume**: 15.41 A^3/atom
**DFT total energy**: -27.42 eV per cell
**Space-group type**: Pmmm, No. 47
**Total moment**: 0.00 μB per formula unit
**Uncorrected formation energy**: 0.718 eV/atom
**N(E_F)**: 2.99 states/eV/cell

=====

Compound: Ca2HgPd
Source: Alexandria via LeMat-Bulk
Functional: PBE
Structure: relaxed

Structure (POSCAR):
```
Ca2HgPd
1.0
3.673 -5.207 0.000
3.673 5.207 0.000
0.000 0.000 5.142
Ca Hg Pd
4 2 2
Direct
0.114 0.361 0.250
0.361 0.114 0.750
0.639 0.886 0.250
0.886 0.639 0.750
0.376 0.624 0.750
0.624 0.376 0.250
0.131 0.869 0.250
0.869 0.131 0.750
```

Computed properties:
**Calculated volume**: 24.59 A^3/atom
**Energy relative to the elements**: -575 meV per atom
**DFT total energy**: -23.60 eV per cell
**Space-group type**: Cmcm, No. 63
**Total moment**: 0.00 μB per formula unit
**N(E_F)**: 6.80 states/eV/cell

=====

Compound: Ir2PbAu
Source: Alexandria via LeMat-Bulk
Functional: PBE
Structure: relaxed

Structure (POSCAR):
```
Ir2PbAu
1.0
4.222 0.000 0.000
0.000 4.222 0.000
0.000 0.000 3.925
Ir Pb Au
2 1 1
Direct
0.000 0.500 0.000
0.500 0.000 0.000
0.000 0.000 0.500
0.500 0.500 0.500
```

Computed properties:
**Calculated volume**: 17.49 A^3/atom
**Energy relative to the elements**: 462 meV per atom
**DFT total energy**: -22.86 eV per cell
**Space-group type**: P4/mmm, No. 123
**Total moment**: 0.00 μB per formula unit
**N(E_F)**: 4.31 states/eV/cell

=====

Compound: ScCoOs2
Source: Alexandria via LeMat-Bulk
Functional: PBE
Structure: relaxed

Structure (POSCAR):
```
ScCoOs2
1.0
2.707 -3.879 0.000
2.707 3.879 0.000
0.000 0.000 2.764
Sc Co Os
1 1 2
Direct
0.000 0.000 0.000
0.500 0.500 0.000
0.000 0.500 0.500
0.500 0.000 0.500
```

Computed properties:
**Polymorph energy (0 for the lowest one)**: 175.9 meV per atom
**Calculated volume**: 14.51 A^3/atom
**Energy relative to the elements**: 131 meV per atom
**DFT total energy**: -35.37 eV per cell
**Space-group type**: Cmmm, No. 65
**Total moment**: 0.59 μB per formula unit
**N(E_F)**: 4.18 states/eV/cell

=====

Compound: ZnSiMo2
Source: Alexandria via LeMat-Bulk
Functional: PBE
Structure: relaxed

Structure (POSCAR):
```
ZnSiMo2
1.0
1.407 0.813 8.767
-1.407 0.813 8.767
0.000 -1.625 8.767
Zn Si Mo
1 1 2
Direct
0.000 0.000 0.000
0.500 0.500 0.500
0.247 0.247 0.247
0.753 0.753 0.753
```

Computed properties:
**Polymorph energy (0 for the lowest one)**: 153.3 meV per atom
**Calculated volume**: 15.04 A^3/atom
**DFT total energy**: -27.88 eV per cell
**Space-group type**: R-3m, No. 166
**Total moment**: 0.00 μB per formula unit
**Uncorrected formation energy**: 0.120 eV/atom
**N(E_F)**: 3.22 states/eV/cell

=====

Compound: BeSb2Te
Source: Alexandria via LeMat-Bulk
Functional: PBE
Structure: relaxed

Structure (POSCAR):
```
BeSb2Te
1.0
4.181 0.000 0.000
0.000 4.181 0.000
0.000 0.000 5.728
Be Sb Te
1 2 1
Direct
0.000 0.000 0.000
0.000 0.500 0.500
0.500 0.000 0.500
0.500 0.500 0.000
```

Computed properties:
**Polymorph energy (0 for the lowest one)**: 523.6 meV per atom
**Calculated volume**: 25.04 A^3/atom
**DFT total energy**: -12.66 eV per cell
**Space-group type**: P4/mmm, No. 123
**Total moment**: 0.00 μB per formula unit
**Uncorrected formation energy**: 0.613 eV/atom
**N(E_F)**: 1.18 states/eV/cell

=====

Compound: Na3CaFe
Source: Alexandria via LeMat-Bulk
Functional: PBE
Structure: relaxed

Structure (POSCAR):
```
Na3CaFe
1.0
6.249 0.000 0.000
0.000 6.249 0.000
0.000 0.000 6.249
Na Ca Fe
3 1 1
Direct
0.000 0.000 0.500
0.000 0.500 0.000
0.500 0.000 0.000
0.000 0.000 0.000
0.500 0.500 0.500
```

Computed properties:
**Polymorph energy (0 for the lowest one)**: 582.9 meV per atom
**Calculated volume**: 48.81 A^3/atom
**Energy relative to the elements**: 1319 meV per atom
**DFT total energy**: -7.83 eV per cell
**Space-group type**: Pm-3m, No. 221
**Total moment**: 3.12 μB per formula unit
**N(E_F)**: 25.36 states/eV/cell

=====

Compound: YHf2Ir2
Source: Alexandria via LeMat-Bulk
Functional: PBE
Structure: relaxed

Structure (POSCAR):
```
YHf2Ir2
1.0
8.064 0.000 0.000
0.000 8.064 0.000
0.000 0.000 3.019
Y Hf Ir
2 4 4
Direct
0.000 0.000 0.000
0.500 0.500 0.000
0.141 0.359 0.000
0.359 0.859 0.000
0.641 0.141 0.000
0.859 0.641 0.000
0.154 0.654 0.500
0.346 0.154 0.500
0.654 0.846 0.500
0.846 0.346 0.500
```

Computed properties:
**Polymorph energy (0 for the lowest one)**: 168.5 meV per atom
**Calculated volume**: 19.63 A^3/atom
**Energy relative to the elements**: -662 meV per atom
**DFT total energy**: -94.80 eV per cell
**Space-group type**: P4/mbm, No. 127
**Total moment**: 0.02 μB per formula unit
**N(E_F)**: 6.18 states/eV/cell

=====

Compound: Ta2FeIr
Source: Alexandria via LeMat-Bulk
Functional: PBE
Structure: relaxed

Structure (POSCAR):
```
Ta2FeIr
1.0
1.989 -2.023 0.000
1.989 2.023 0.000
0.000 0.000 7.867
Ta Fe Ir
2 1 1
Direct
0.000 0.000 0.000
0.500 0.500 0.291
0.500 0.500 0.755
0.000 0.000 0.544
```

Computed properties:
**Calculated volume**: 15.82 A^3/atom
**Energy relative to the elements**: -107 meV per atom
**DFT total energy**: -41.46 eV per cell
**Space-group type**: Cmm2, No. 35
**Total moment**: 2.73 μB per formula unit
**N(E_F)**: 3.67 states/eV/cell

=====

Compound: SrAu
Source: Alexandria via LeMat-Bulk
Functional: PBE
Structure: relaxed

Structure (POSCAR):
```
SrAu
1.0
5.770 -2.121 0.000
5.770 2.121 0.000
-2.951 0.000 7.685
Sr Au
3 3
Direct
0.000 0.000 0.000
0.649 0.649 0.701
0.829 0.829 0.350
0.128 0.128 0.404
0.287 0.287 0.015
0.366 0.366 0.691
```

Computed properties:
**Calculated volume**: 31.34 A^3/atom
**Energy relative to the elements**: -720 meV per atom
**DFT total energy**: -19.20 eV per cell
**Space-group type**: Cm, No. 8
**Total moment**: 0.00 μB per formula unit
**N(E_F)**: 3.48 states/eV/cell